1.
First-principles (PBE) data for a relaxed structure of Ba2Li2US6, as listed in Alexandria.

**Spin magnetization**: 0.00 μB/f.u.
**Space-group type**: R-3m (166)
**Calculated total energy**: -5.4460 eV/atom

The structure in extended XYZ format:
```
11
Lattice="3.677 2.123 6.215 -3.677 2.123 6.215 0.000 -4.246 6.215" Properties=species:S:1:pos:R:3 pbc="T T T"
Ba 0.000 0.000 4.161
Ba 0.000 0.000 14.483
Li 0.000 0.000 7.949
Li 0.000 0.000 10.695
U 0.000 0.000 0.000
S -1.949 -1.125 10.851
S 0.000 -2.250 7.793
S -1.949 1.125 7.793
S 1.949 -1.125 10.851
S 0.000 2.250 10.851
S 1.949 1.125 7.793
```

2.
First-principles (PBE) data for a relaxed structure of Ba2LiUS5, as listed in Alexandria.

**Density of states at the Fermi level**: 9.75 states/eV per cell
**Spin magnetization**: 1.00 μB/f.u.
**Space-group type**: Cmc2_1 (36)
**Calculated total energy**: -5.8575 eV/atom

The structure in extended XYZ format:
```
18
Lattice="2.093 -9.000 0.000 2.093 9.000 0.000 0.000 0.000 12.881" Properties=species:S:1:pos:R:3 pbc="T T T"
Ba 2.093 7.127 6.440
Ba 2.093 6.822 1.562
Ba 2.093 -6.822 8.002
Ba 2.093 -7.127 0.000
Li 2.093 1.095 3.294
Li 2.093 -1.095 9.734
U 2.093 5.251 10.655
U 2.093 -5.251 4.215
S 2.093 7.730 11.002
S 2.093 3.899 5.934
S 2.093 3.553 2.499
S 2.093 2.693 10.486
S 2.093 0.009 1.189
S 2.093 -0.009 7.629
S 2.093 -2.693 4.046
S 2.093 -3.553 8.939
S 2.093 -3.899 12.374
S 2.093 -7.730 4.561
```